# 1
A geometry-optimized MnAg2BPt structure. Source: the Alexandria database, functional PBE.

Formation energy from the elements (eV/atom): 1.73
Energy (eV/atom): -3.783
Total magnetic moment (μB per cell): 4.6

Unit cell a=4.9232 b=4.9232 c=4.6969 alpha=90.00 beta=90.00 gamma=90.00
Closest atoms and distances in Å follow each position.
Space group P4/mmm (No. 123)
Symmetry-distinct sites (fractional):
Mn (0.0000, 0.0000, 0.0000)  2 Pt 2.35, 4 Ag 2.46
Ag (0.0000, 0.5000, 0.0000)  2 Mn 2.46
B (0.5000, 0.5000, 0.5000)  8 Ag 3.40, 4 Pt 3.48
Pt (0.0000, 0.0000, 0.5000)  2 Mn 2.35


# 2
A geometry-optimized MnAgB2Se structure. Source: the Alexandria database, functional PBE.

Raw formation energy (kJ per mole of atoms): 83.8
Energy (eV/atom): -4.903
Total magnetic moment (μB per cell): 0.0

Unit cell a=3.9048 b=3.9048 c=4.8363 alpha=90.00 beta=90.00 gamma=90.00
Closest atoms and distances in Å follow each position.
Space group P4/mmm (No. 123)
Symmetry-distinct sites (fractional):
Mn (0.0000, 0.0000, 0.0000)  4 B 1.95
Ag (0.5000, 0.5000, 0.5000)  4 Se 2.76
B (0.0000, 0.5000, 0.0000)  2 Mn 1.95
Se (0.0000, 0.0000, 0.5000)  2 Mn 2.42


# 3
A geometry-optimized Y2MnAgB structure. Source: the Alexandria database, functional PBE.

Formation energy from the elements (eV/atom): 0.24
Energy (eV/atom): -6.081
Total magnetic moment (μB per cell): 3.9

Unit cell a=5.0799 b=5.0799 c=4.2365 alpha=90.00 beta=90.00 gamma=90.00
Closest atoms and distances in Å follow each position.
Space group P4/mmm (No. 123)
Symmetry-distinct sites (fractional):
Y (0.0000, 0.5000, 0.0000)  2 B 2.54
Mn (0.0000, 0.0000, 0.5000)  8 Y 3.31, 4 Ag 3.59
Ag (0.5000, 0.5000, 0.5000)  2 B 2.12
B (0.5000, 0.5000, 0.0000)  2 Ag 2.12


# 4
A geometry-optimized ZrMnAg2B structure. Source: the Alexandria database, functional PBE.

Formation energy from the elements (eV/atom): 0.83
Energy (eV/atom): -5.191
Total magnetic moment (μB per cell): 2.2

Unit cell a=4.8664 b=4.8664 c=3.8393 alpha=90.00 beta=90.00 gamma=90.00
Closest atoms and distances in Å follow each position.
Space group P4/mmm (No. 123)
Symmetry-distinct sites (fractional):
Zr (0.0000, 0.0000, 0.0000)  8 Ag 3.10, 4 B 3.44
Mn (0.5000, 0.5000, 0.5000)  2 B 1.92
Ag (0.0000, 0.5000, 0.5000)  2 Mn 2.43
B (0.5000, 0.5000, 0.0000)  2 Mn 1.92